VASP calculation (PBE-GGA) on a relaxed La2GdIr crystal.

a = 10.9295 Å, b = 10.9295 Å, c = 10.9295 Å
α = 21.04°, β = 21.04°, γ = 21.04°
Closest atoms and distances in Å follow each position.
Fractional coordinates of all 4 atoms:
La 0.1148 0.1148 0.1148  3 Ir 2.84
La 0.8852 0.8852 0.8852  3 Ir 2.84
Gd 0.0000 0.0000 0.0000  2 La 3.68, 6 Gd 3.99
Ir 0.5000 0.5000 0.5000  6 La 2.84

Crystal system ... trigonal
Energy above the lowest structure with this stoichiometry ... 122.2 meV/atom
E_form ... -0.1688 eV per atom